DFT (SCAN) results for a crystal of AsI2F6 relaxed with PBEsol.

Computed properties:
DOS at the Fermi energy: 7.02 states/eV per cell
Symmetry: No. 12
Total magnetic moment: 0.001 μB per formula unit

abc: 6.884 6.319 11.472
angles: 79.83 71.08 57.00
Positions (direct):
As 0.346 0.000 0.843
As 0.654 0.000 0.157
F 0.776 0.000 0.000
F 0.224 0.000 0.000
F 0.947 0.764 0.176
F 0.289 0.764 0.824
F 0.053 0.236 0.824
F 0.711 0.236 0.176
F 0.364 0.238 0.149
F 0.398 0.238 0.851
F 0.636 0.762 0.851
F 0.602 0.762 0.149
F 0.542 0.000 0.321
F 0.458 0.000 0.679
I 0.026 0.558 0.382
I 0.416 0.558 0.618
I 0.974 0.442 0.618
I 0.584 0.442 0.382

=====

DFT (SCAN) results for a crystal of As2I2F relaxed with PBEsol.

Computed properties:
DOS at the Fermi energy: 1.54 states/eV per cell
Symmetry: No. 139
Total magnetic moment: 0.000 μB per formula unit

abc: 5.458 5.458 5.458
angles: 96.59 116.27 116.27
Positions (direct):
I 0.500 0.750 0.250
I 0.500 0.250 0.750
As 0.000 0.678 0.678
As 0.000 0.322 0.322
F 0.000 0.000 0.000

=====

DFT (SCAN) results for a crystal of AsI2F relaxed with PBEsol.

Computed properties:
Symmetry: No. 122
Total magnetic moment: 0.000 μB per formula unit

abc: 6.514 6.514 6.514
angles: 74.57 68.47 111.53
Positions (direct):
I 0.999 0.374 0.125
I 0.001 0.876 0.625
I 0.501 0.625 0.374
I 0.499 0.125 0.876
As 0.000 0.000 0.000
As 0.500 0.250 0.250
F 0.000 0.500 0.500
F 0.500 0.750 0.750

=====

DFT (SCAN) results for a crystal of AsI3F6 relaxed with PBEsol.

Computed properties:
DOS at the Fermi energy: 0.00 states/eV per cell
Symmetry: No. 2
Total magnetic moment: 0.000 μB per formula unit

abc: 5.822 8.089 10.307
angles: 92.80 103.02 98.82
Positions (direct):
As 0.451 0.236 0.193
As 0.549 0.764 0.807
F 0.233 0.266 0.286
F 0.767 0.734 0.714
F 0.216 0.128 0.064
F 0.784 0.872 0.936
F 0.408 0.428 0.122
F 0.592 0.572 0.878
F 0.657 0.204 0.099
F 0.343 0.796 0.901
F 0.481 0.044 0.266
F 0.519 0.956 0.734
F 0.676 0.344 0.324
F 0.324 0.656 0.676
I 0.193 0.164 0.781
I 0.807 0.836 0.219
I 0.902 0.373 0.829
I 0.098 0.627 0.171
I 0.230 0.224 0.532
I 0.770 0.776 0.468

=====

DFT (SCAN) results for a crystal of Nb2AsIF relaxed with PBEsol.

Computed properties:
DOS at the Fermi energy: 5.49 states/eV per cell
Symmetry: No. 123
Total magnetic moment: 0.001 μB per formula unit

abc: 5.034 5.034 5.283
angles: 90.00 90.00 90.00
Positions (direct):
I 0.000 0.000 0.000
Nb 0.000 0.500 0.000
Nb 0.500 0.000 0.000
As 0.000 0.000 0.500
F 0.500 0.500 0.500

=====

DFT (SCAN) results for a crystal of AsI2OF relaxed with PBEsol.

Computed properties:
DOS at the Fermi energy: 4.07 states/eV per cell
Symmetry: No. 123
Total magnetic moment: 1.358 μB per formula unit

abc: 3.634 5.643 5.643
angles: 90.00 90.00 90.00
Each line ends with the local moment (μB).
Positions (direct):
I 0.000 0.000 0.500  0.32
I 0.000 0.500 0.000  0.32
As 0.000 0.000 0.000  -0.01
O 0.500 0.000 0.000  0.00
F 0.500 0.500 0.500  0.38

=====

Per-record DFT total energy, eV for the cell shown: -258.9 -118.3 -195.5 -333.8 -118.5 -103.9
Per-record energy relative to the elements, uncorrected, meV/atom: -1613 -181 -133 -1527 1638 -99